1.
TaCrCl2: relaxed, PBE.

Structure (POSCAR):
```
TaCrCl2
1.0
3.007 0.000 0.000
0.000 3.007 0.000
0.000 0.000 8.560
Ta Cr Cl
1 1 2
direct
0.000 0.000 0.000
0.500 0.500 0.773
0.000 0.000 0.590
0.500 0.500 0.192
```

Computed properties:
formation energy without anion corrections: -214 meV per atom
ΔE to the lowest computed polymorph: 183 meV/atom
total magnetization: 2.9 μB per cell



2.
CaSc2Al: relaxed, PBE.

Structure (POSCAR):
```
CaSc2Al
1.0
4.618 0.000 0.000
0.000 4.618 0.000
0.000 0.000 4.542
Ca Sc Al
1 2 1
direct
0.000 0.000 0.000
0.000 0.500 0.500
0.500 0.000 0.500
0.500 0.500 0.000
```

Computed properties:
total magnetization: 0.4 μB per cell
energy relative to the elements: -0.063 eV per atom



3.
MnAgSbCl6: relaxed, PBE.

Structure (POSCAR):
```
MnAgSbCl6
1.0
6.664 0.000 0.000
-3.332 5.771 0.000
0.000 0.000 12.197
Mn Ag Sb Cl
2 2 2 12
direct
0.333 0.667 0.250
0.667 0.333 0.750
0.000 0.000 0.000
0.000 0.000 0.500
0.333 0.667 0.750
0.667 0.333 0.250
0.016 0.358 0.130
0.016 0.658 0.370
0.342 0.358 0.370
0.342 0.984 0.130
0.358 0.016 0.630
0.358 0.342 0.870
0.642 0.658 0.130
0.642 0.984 0.370
0.658 0.016 0.870
0.658 0.642 0.630
0.984 0.342 0.630
0.984 0.642 0.870
```

Computed properties:
formation energy without anion corrections: -824 meV per atom
total magnetization: 10.0 μB per cell



4.
Li2RePt: relaxed, PBE.

Structure (POSCAR):
```
Li2RePt
1.0
0.000 2.968 2.968
2.968 0.000 2.968
2.968 2.968 0.000
Li Re Pt
2 1 1
direct
0.250 0.250 0.250
0.750 0.750 0.750
0.000 0.000 0.000
0.500 0.500 0.500
```

Computed properties:
ΔE to the lowest computed polymorph: 541 meV/atom
total magnetization: 2.2 μB per cell
energy relative to the elements: 0.412 eV per atom



5.
Cs2DyMgI6: relaxed, PBE.

Structure (POSCAR):
```
Cs2DyMgI6
1.0
8.750 0.000 0.000
0.000 12.382 0.000
0.000 0.000 8.752
Cs Dy Mg I
4 2 2 12
direct
0.250 0.000 0.250
0.250 0.500 0.250
0.750 0.000 0.750
0.750 0.500 0.750
0.250 0.250 0.749
0.750 0.750 0.251
0.250 0.750 0.750
0.750 0.250 0.250
0.003 0.250 0.995
0.004 0.250 0.502
0.250 0.004 0.750
0.250 0.496 0.750
0.496 0.250 0.502
0.497 0.250 0.995
0.503 0.750 0.005
0.504 0.750 0.498
0.750 0.504 0.250
0.750 0.996 0.250
0.996 0.750 0.498
0.997 0.750 0.005
```

Computed properties:
formation energy without anion corrections: -1241 meV per atom
total magnetization: 1.4 μB per cell



6.
Er6NiSn3: relaxed, PBE.

Structure (POSCAR):
```
Er6NiSn3
1.0
6.086 -6.486 0.000
6.086 6.486 0.000
0.000 0.000 6.801
Er Ni Sn
12 2 6
direct
0.036 0.964 0.500
0.173 0.313 0.724
0.192 0.537 0.139
0.295 0.705 0.589
0.313 0.173 0.224
0.463 0.808 0.139
0.537 0.192 0.639
0.687 0.827 0.724
0.705 0.295 0.089
0.808 0.463 0.639
0.827 0.687 0.224
0.964 0.036 0.000
0.164 0.836 0.179
0.836 0.164 0.679
0.006 0.707 0.838
0.293 0.994 0.838
0.491 0.509 0.872
0.509 0.491 0.372
0.707 0.006 0.338
0.994 0.293 0.338
```

Computed properties:
total magnetization: 0.0 μB per cell
energy relative to the elements: -0.406 eV per atom



| no. | theoretical density (g/cm³) |
| --- | --- |
| 1 | 6.5 |
| 2 | 2.7 |
| 3 | 3.5 |
| 4 | 12.5 |
| 5 | 4.3 |
| 6 | 8.8 |